! PmCdRh2 | the Alexandria database | GGA-PBEsol | optimized geometry; values from VASP
&SYSTEM
  ibrav = 0, nat = 4, ntyp = 3
/
ATOMIC_SPECIES
Pm 145.00 Pm.upf
Rh 102.91 Rh.upf
Cd 112.41 Cd.upf
CELL_PARAMETERS angstrom
-2.8433 -2.2421 2.9458
0.8972 -4.4210 1.1994
1.4386 -0.9984 4.3270
ATOMIC_POSITIONS crystal
Pm 0.0000 0.0000 0.0000
Rh 0.2500 0.2500 0.2500
Rh 0.7500 0.7500 0.7500
Cd 0.5000 0.5000 0.5000
! Symmetry: Fm-3m
! Density of states at the Fermi level (states/eV/atom): 0.613
! Calculated volume (Å³/cell): 71.9
! Energy (eV per atom): -6.078
! Energy of formation (eV/atom): -0.426